Below is Cr2RuBr after structural relaxation, with properties calculated at the PBE level.

## Properties
uncorrected formation energy: 695 meV/atom
uncorrected energy: -6.854 eV/atom
symmetry: No. 44
polymorph energy (0 for the lowest one): 226.1 meV/atom

abc: 5.2789 5.2789 5.2789
angles: 147.01 130.30 60.95
Element x y z (fractional)
1 Cr 0.0000 0.0000 0.0000
2 Cr 0.7310 0.2310 0.5000
3 Ru 0.2542 0.7542 0.5000
4 Br 0.4894 0.4894 0.0000